Cs2H6PbAu2 PBE optimized geometry; theoretical density = 6.7 g cm⁻³; spin magnetization = 0.0 Bohr magnetons per cell; DOS at the Fermi energy = 0.078 states/eV per atom; calculated total energy = -0.108 hartree per atom; space-group type = C2/m (12)
1.0
5.5276 -3.1936 0.0000
5.5276 3.1936 0.0000
-3.6362 0.0000 6.1315
Cs H Pb Au
2 6 1 2
direct
0.2209 0.2209 0.1632
0.7791 0.7791 0.8368
0.2471 0.7259 0.7245
0.2482 0.2482 0.7180
0.2741 0.7529 0.2755
0.7259 0.2471 0.7245
0.7518 0.7518 0.2820
0.7529 0.2741 0.2755
0.0000 0.0000 0.5000
0.4134 0.4134 0.7371
0.5866 0.5866 0.2629

Ac2CdGaPt6 PBE optimized geometry; theoretical density = 12.3 g cm⁻³; spin magnetization = 0.0 Bohr magnetons per cell; DOS at the Fermi energy = 0.341 states/eV per atom; calculated total energy = -0.204 hartree per atom; space-group type = R-3m (166); DFT formation energy = -67.8 kJ/mol of atoms
1.0
2.9179 1.6847 8.2879
-2.9179 1.6847 8.2879
0.0000 -3.3693 8.2879
Ac Cd Ga Pt
2 1 1 6
direct
0.2085 0.2085 0.2085
0.7915 0.7915 0.7915
0.0000 0.0000 0.0000
0.5000 0.5000 0.5000
0.2371 0.7451 0.7451
0.2549 0.2549 0.7629
0.2549 0.7630 0.2549
0.7451 0.2370 0.7451
0.7451 0.7451 0.2370
0.7630 0.2549 0.2549

Cs2W2Se5 PBE optimized geometry; ΔE_f (raw) = -0.459 eV/atom; theoretical density = 5.5 g cm⁻³; spin magnetization = 0.0 Bohr magnetons per cell; DOS at the Fermi energy = 0.456 states/eV per atom; calculated total energy = -0.201 hartree per atom; space-group type = C2/m (12)
1.0
6.9381 -2.4706 0.0000
6.9381 2.4706 0.0000
-1.5052 0.0000 9.0053
Cs W Se
2 2 5
direct
0.0910 0.0910 0.3053
0.9090 0.9090 0.6947
0.3548 0.3548 0.1087
0.6452 0.6452 0.8913
0.1908 0.1908 0.9404
0.3709 0.3709 0.3696
0.5000 0.5000 0.0000
0.6291 0.6291 0.6304
0.8092 0.8092 0.0596

Pm3Mg4Ni4 PBE optimized geometry; theoretical density = 5.7 g cm⁻³; spin magnetization = 0.0 Bohr magnetons per cell; DOS at the Fermi energy = 0.769 states/eV per atom; calculated total energy = -0.154 hartree per atom; space-group type = Immm (71); DFT formation energy = -21.4 kJ/mol of atoms
1.0
-1.9974 3.9551 7.0827
1.9974 -3.9551 7.0827
1.9974 3.9551 -7.0827
Pm Mg Ni
3 4 4
direct
0.0000 0.0000 0.0000
0.3814 0.8814 0.5000
0.6186 0.1186 0.5000
0.0186 0.3280 0.6905
0.3625 0.6720 0.6905
0.6375 0.3280 0.3095
0.9814 0.6720 0.3095
0.2293 0.2293 0.0000
0.3293 0.5000 0.8293
0.6707 0.5000 0.1707
0.7707 0.7707 0.0000

NiBiPt PBE optimized geometry; theoretical density = 13.4 g cm⁻³; polymorph energy (0 for the lowest one) = 125 meV/atom; spin magnetization = 0.0 Bohr magnetons per cell; DOS at the Fermi energy = 1.203 states/eV per atom; calculated total energy = -0.192 hartree per atom; space-group type = F-43m (216); DFT formation energy = 1.1 kJ/mol of atoms
1.0
0.0000 3.0621 3.0621
3.0621 0.0000 3.0621
3.0621 3.0621 0.0000
Ni Bi Pt
1 1 1
direct
0.0000 0.0000 0.0000
0.7500 0.7500 0.7500
0.2500 0.2500 0.2500

NdTaGe2Os PBE optimized geometry; theoretical density = 11.3 g cm⁻³; spin magnetization = 0.0 Bohr magnetons per cell; DOS at the Fermi energy = 0.559 states/eV per atom; calculated total energy = -0.288 hartree per atom; space-group type = I-4m2 (119); DFT formation energy = -41.5 kJ/mol of atoms
1.0
-2.0438 2.0438 5.7858
2.0438 -2.0438 5.7858
2.0438 2.0438 -5.7858
Nd Ta Ge Os
1 1 2 1
direct
0.0000 0.0000 0.0000
0.2500 0.7500 0.5000
0.3884 0.3884 0.0000
0.6116 0.6116 0.0000
0.7500 0.2500 0.5000